Tb6NdTl6 | PBE | optimized geometry

Values from the calculation:
DFT formation energy = -20 kJ/mol of atoms
theoretical density = 10.06 g cm⁻³

abc: 6.4582 6.4582 10.6215
angles: 90.00 90.00 120.00
Space group P6/mmm (No. 191)
Symmetry-distinct sites (fractional):
Tb  0.0000  0.0000  0.1641 (multiplicity 2)
Tb  0.3333  0.6667  0.0000 (multiplicity 2)
Tb  0.3333  0.6667  0.5000 (multiplicity 2)
Nd  0.0000  0.0000  0.5000 (multiplicity 1)
Tl  0.0000  0.5000  0.2539 (multiplicity 6)